# 1
TeRhCl: relaxed, GGA-PBE.

For the total moment, the calculation gives 0.00 μB/f.u. As for the mass density: 5.7 g/cm³. The raw total energy comes out at -0.170 Ha/atom. The formation energy without anion corrections comes out at -0.503 eV/atom.

The space group is Pmmn (No. 59, origin choice 2) and the conventional cell measures 3.7761, 5.2784 and 7.7619 Å, with angles of 90.00, 90.00 and 90.00 degrees. Symmetry generates all atoms from Te at (0.2500, 0.2500, 0.0722), Rh at (0.2500, 0.7500, 0.1558) and Cl at (0.2500, 0.2500, 0.6374).

=====

# 2
TeRh2Cl: relaxed, GGA-PBE.

For the total moment, the calculation gives 0.00 μB/f.u. As for the mass density: 8.3 g/cm³. For the energy above the most stable polymorph in this dataset, the calculation gives 263 meV per atom. The raw total energy comes out at -0.175 Ha/atom. The formation energy without anion corrections comes out at 0.151 eV/atom.

The space group is Imm2 (No. 44) and the conventional cell measures 3.0431, 4.0615 and 11.9221 Å, with angles of 90.00, 90.00 and 90.00 degrees. Symmetry generates all atoms from Te at (0.0000, 0.0000, 0.0000), Rh at (0.0000, 0.0000, 0.4088), Rh at (0.0000, 0.5000, 0.7042) and Cl at (0.0000, 0.5000, 0.2195).

=====

# 3
TeRh2Cl: relaxed, GGA-PBE.

For the total moment, the calculation gives 0.00 μB/f.u. As for the mass density: 8.6 g/cm³. For the energy above the most stable polymorph in this dataset, the calculation gives 473 meV per atom. The raw total energy comes out at -0.168 Ha/atom. The formation energy without anion corrections comes out at 0.361 eV/atom.

The space group is I-4m2 (No. 119) and the conventional cell measures 3.7798, 3.7798 and 9.9668 Å, with angles of 90.00, 90.00 and 90.00 degrees. Symmetry generates all atoms from Te at (0.0000, 0.0000, 0.0000), Rh at (0.0000, 0.0000, 0.5000), Rh at (0.0000, 0.5000, 0.2500) and Cl at (0.0000, 0.5000, 0.7500).